[1]
Here is a relaxed Er4PdPb crystal from the Alexandria database. Energies are from PBE.

CIF file:
```
data_Er4PdPb
_cell_length_a 5.936
_cell_length_b 6.770
_cell_length_c 8.643
_cell_angle_alpha 90.00
_cell_angle_beta 108.63
_cell_angle_gamma 90.00
_symmetry_space_group_name_H-M 'P 1 21/m 1'
_symmetry_Int_Tables_number 11
loop_
_symmetry_equiv_pos_as_xyz
'x,y,z'
'-x,-y,-z'
'-x,y+1/2,-z'
'x,-y+1/2,z'
loop_
_atom_site_label
_atom_site_type_symbol
_atom_site_fract_x
_atom_site_fract_y
_atom_site_fract_z
_atom_site_occupancy
Er1 Er 0.160 0.250 0.075 1
Er2 Er 0.259 0.750 0.368 1
Er3 Er 0.296 0.502 0.775 1
Pd1 Pd 0.325 0.750 0.057 1
Pb1 Pb 0.182 0.250 0.440 1
```

## Properties
calculated density = 9.915 Mg/m³
spin magnetization = 0.000 μB per cell
calculated formation energy = -0.484 eV per atom

[2]
Here is a relaxed BaCd2RhAu crystal from the Alexandria database. Energies are from PBE.

CIF file:
```
data_BaCd2RhAu
_cell_length_a 5.167
_cell_length_b 5.167
_cell_length_c 5.354
_cell_angle_alpha 90.00
_cell_angle_beta 90.00
_cell_angle_gamma 90.00
_symmetry_space_group_name_H-M 'P 4/m m m'
_symmetry_Int_Tables_number 123
_symmetry_space_group_name_Hall '-P 4 2'
loop_
_atom_site_label
_atom_site_type_symbol
_atom_site_fract_x
_atom_site_fract_y
_atom_site_fract_z
_atom_site_occupancy
Ba1 Ba 0.000 0.000 0.000 1
Cd1 Cd 0.000 0.500 0.500 1
Rh1 Rh 0.500 0.500 0.500 1
Au1 Au 0.500 0.500 0.000 1
```

## Properties
calculated density = 7.692 Mg/m³
spin magnetization = 0.000 μB per cell
calculated formation energy = -0.230 eV per atom

[3]
Here is a relaxed Ca2CuAu crystal from the Alexandria database. Energies are from PBE.

CIF file:
```
data_Ca2CuAu
_cell_length_a 5.869
_cell_length_b 4.373
_cell_length_c 8.325
_cell_angle_alpha 90.00
_cell_angle_beta 110.23
_cell_angle_gamma 90.00
_symmetry_space_group_name_H-M 'P 1 21/m 1'
_symmetry_Int_Tables_number 11
loop_
_symmetry_equiv_pos_as_xyz
'x,y,z'
'-x,-y,-z'
'-x,y+1/2,-z'
'x,-y+1/2,z'
loop_
_atom_site_label
_atom_site_type_symbol
_atom_site_fract_x
_atom_site_fract_y
_atom_site_fract_z
_atom_site_occupancy
Ca1 Ca 0.212 0.250 0.429 1
Ca2 Ca 0.287 0.750 0.071 1
Cu1 Cu 0.355 0.750 0.714 1
Au1 Au 0.146 0.250 0.784 1
```

## Properties
calculated density = 5.643 Mg/m³
spin magnetization = 0.000 μB per cell
calculated formation energy = -0.490 eV per atom

[4]
Here is a relaxed Mn2BePb crystal from the Alexandria database. Energies are from PBE.

CIF file:
```
data_Mn2BePb
_cell_length_a 3.3315
_cell_length_b 3.3315
_cell_length_c 20.1184
_cell_angle_alpha 90.00
_cell_angle_beta 90.00
_cell_angle_gamma 120.00
_symmetry_space_group_name_H-M 'R -3 m'
_symmetry_Int_Tables_number 166
_symmetry_space_group_name_Hall '-R 3 2"'
loop_
_atom_site_label
_atom_site_type_symbol
_atom_site_fract_x
_atom_site_fract_y
_atom_site_fract_z
_atom_site_occupancy
Mn1 Mn 0.0000 0.0000 0.2216 1
Be1 Be 0.0000 0.0000 0.5000 1
Pb1 Pb 0.0000 0.0000 0.0000 1
```

## Properties
calculated density = 8.401 Mg/m³
spin magnetization = 17.372 μB per cell
calculated formation energy = 0.485 eV per atom

[5]
Here is a relaxed YCuOs2 crystal from the Alexandria database. Energies are from PBE.

CIF file:
```
data_YCuOs2
_cell_length_a 2.891
_cell_length_b 3.908
_cell_length_c 5.949
_cell_angle_alpha 90.00
_cell_angle_beta 90.00
_cell_angle_gamma 90.00
_symmetry_space_group_name_H-M 'P m m 2'
_symmetry_Int_Tables_number 25
loop_
_symmetry_equiv_pos_as_xyz
'x,y,z'
'-x,-y,z'
'-x,y,z'
'x,-y,z'
loop_
_atom_site_label
_atom_site_type_symbol
_atom_site_fract_x
_atom_site_fract_y
_atom_site_fract_z
_atom_site_occupancy
Y1 Y 0.000 0.000 0.000 1
Cu1 Cu 0.500 0.500 0.271 1
Os1 Os 0.000 0.000 0.516 1
Os2 Os 0.500 0.500 0.695 1
```

## Properties
calculated density = 13.164 Mg/m³
spin magnetization = 0.000 μB per cell
calculated formation energy = 0.176 eV per atom

[6]
Here is a relaxed KSr2As crystal from the Alexandria database. Energies are from PBE.

CIF file:
```
data_KSr2As
_cell_length_a 7.615
_cell_length_b 7.613
_cell_length_c 4.907
_cell_angle_alpha 90.00
_cell_angle_beta 90.10
_cell_angle_gamma 90.00
_symmetry_space_group_name_H-M 'C 1 2/m 1'
_symmetry_Int_Tables_number 12
loop_
_symmetry_equiv_pos_as_xyz
'x,y,z'
'-x,-y,-z'
'-x,y,-z'
'x,-y,z'
'x+1/2,y+1/2,z'
'-x+1/2,-y+1/2,-z'
'-x+1/2,y+1/2,-z'
'x+1/2,-y+1/2,z'
loop_
_atom_site_label
_atom_site_type_symbol
_atom_site_fract_x
_atom_site_fract_y
_atom_site_fract_z
_atom_site_occupancy
K1 K 0.000 0.000 0.000 1
Sr1 Sr 0.250 0.250 0.500 1
As1 As 0.000 0.500 0.000 1
```

## Properties
calculated density = 3.377 Mg/m³
spin magnetization = 0.000 μB per cell
calculated formation energy = -0.317 eV per atom